# 1
## ScAl2Cl (PBE)

Data for a relaxed structure of ScAl2Cl.

Calculated values
Offset from the most stable computed form (meV/atom): 265.1

Structure (POSCAR):
```
ScAl2Cl
1.0
-4.196 -7.601 2.266
-4.119 -7.918 -0.926
-1.583 -8.793 0.834
Al Cl Sc
2 1 1
Direct
0.997 0.997 0.997 Al
0.503 0.503 0.503 Al
0.250 0.250 0.250 Cl
0.750 0.750 0.750 Sc
```

# 2
## U3TiPt12 (PBE)

Data for a relaxed structure of U3TiPt12.

Calculated values
Formation enthalpy at 0 K (meV per atom): -736

Structure (POSCAR):
```
U3TiPt12
1.0
4.116 0.000 0.000
0.000 4.116 0.000
0.000 0.000 16.417
Pt Ti U
12 1 3
Direct
0.000 0.500 0.372 Pt
0.000 0.500 0.628 Pt
0.500 0.500 0.243 Pt
0.500 0.000 0.628 Pt
0.500 0.500 0.757 Pt
0.500 0.000 0.886 Pt
0.500 0.500 0.500 Pt
0.500 0.000 0.114 Pt
0.000 0.500 0.114 Pt
0.000 0.500 0.886 Pt
0.500 0.000 0.372 Pt
0.500 0.500 0.000 Pt
0.000 0.000 0.000 Ti
0.000 0.000 0.757 U
0.000 0.000 0.500 U
0.000 0.000 0.243 U
```

# 3
## NiHgBr (PBE)

Data for a relaxed structure of NiHgBr.

Calculated values
Offset from the most stable computed form (meV/atom): 46.1

Structure (POSCAR):
```
NiHgBr
1.0
-0.976 5.174 0.205
-2.027 -0.242 -3.530
-9.329 -5.758 5.754
Ni Hg Br
4 4 4
Direct
0.914 0.500 0.851 Ni
0.583 0.000 0.110 Ni
0.583 0.500 0.610 Ni
0.914 0.000 0.351 Ni
0.617 0.500 0.250 Hg
0.617 0.000 0.750 Hg
0.156 0.000 0.195 Hg
0.156 0.500 0.695 Hg
0.200 0.500 0.431 Br
0.743 0.500 0.014 Br
0.200 0.000 0.931 Br
0.743 0.000 0.514 Br
```

# 4
## Al2Si2Pt (PBE)

Data for a relaxed structure of Al2Si2Pt.

Calculated values
Offset from the most stable computed form (meV/atom): 0.0

Structure (POSCAR):
```
Al2Si2Pt
1.0
-3.909 -1.090 4.739
-2.881 -4.380 -3.384
2.584 -2.841 1.478
Pt Al Si
2 4 4
Direct
0.000 0.000 0.000 Pt
0.500 0.500 0.000 Pt
0.827 0.327 0.500 Al
0.173 0.673 0.500 Al
0.673 0.827 0.500 Al
0.327 0.173 0.500 Al
0.366 0.866 0.000 Si
0.134 0.366 0.000 Si
0.634 0.134 0.000 Si
0.866 0.634 0.000 Si
```

# 5
## Dy4S3O4 (PBE)

Data for a relaxed structure of Dy4S3O4.

Structure (POSCAR):
```
Dy4S3O4
1.0
-1.972 -0.131 3.324
5.614 -3.177 3.206
0.450 7.249 -1.697
O Dy S
4 4 3
Direct
0.325 0.137 0.650 O
0.325 0.514 0.650 O
0.675 0.863 0.350 O
0.675 0.486 0.350 O
0.500 0.248 0.000 Dy
0.223 0.723 0.446 Dy
0.500 0.752 0.000 Dy
0.777 0.277 0.554 Dy
0.000 0.500 0.000 S
0.913 0.913 0.826 S
0.087 0.087 0.174 S
```

# 6
## Ce4CdCo (PBE)

Data for a relaxed structure of Ce4CdCo.

Calculated values
Formation enthalpy at 0 K (meV per atom): -85

Structure (POSCAR):
```
Ce4CdCo
1.0
5.441 -0.488 0.000
-1.911 8.455 0.000
-1.765 -3.984 6.229
Ce Cd Co
8 2 2
Direct
0.697 0.070 0.388 Ce
0.015 0.145 0.795 Ce
0.280 0.650 0.795 Ce
0.720 0.350 0.205 Ce
0.190 0.318 0.388 Ce
0.985 0.855 0.205 Ce
0.303 0.930 0.612 Ce
0.810 0.682 0.612 Ce
0.348 0.598 0.197 Cd
0.652 0.402 0.803 Cd
0.269 0.019 0.039 Co
0.731 0.981 0.961 Co
```

# 7
## Ti5Sb2S (PBE)

Data for a relaxed structure of Ti5Sb2S.

Structure (POSCAR):
```
Ti5Sb2S
1.0
-2.904 0.670 3.569
-1.756 -6.052 -3.322
7.001 -5.749 6.775
Ti Sb S
10 4 2
Direct
0.705 0.410 0.959 Ti
0.903 0.807 0.633 Ti
0.097 0.193 0.133 Ti
0.286 0.572 0.750 Ti
0.097 0.193 0.367 Ti
0.903 0.807 0.867 Ti
0.295 0.590 0.459 Ti
0.714 0.428 0.250 Ti
0.705 0.410 0.541 Ti
0.295 0.590 0.041 Ti
0.891 0.781 0.108 Sb
0.109 0.219 0.892 Sb
0.109 0.219 0.608 Sb
0.891 0.781 0.392 Sb
0.247 0.495 0.250 S
0.753 0.505 0.750 S
```

# 8
## NiB2Cl (PBE)

Data for a relaxed structure of NiB2Cl.

Calculated values
Offset from the most stable computed form (meV/atom): 1050.7

Structure (POSCAR):
```
NiB2Cl
1.0
-0.989 -1.678 3.444
-3.801 -0.717 0.831
-1.341 -3.721 0.074
Cl B Ni
1 2 1
Direct
0.000 0.000 0.000 Cl
0.750 0.750 0.750 B
0.250 0.250 0.250 B
0.500 0.500 0.500 Ni
```

# 9
## Cs2Tl2Au (PBE)

Data for a relaxed structure of Cs2Tl2Au.

Calculated values
Formation enthalpy at 0 K (meV per atom): -135
Offset from the most stable computed form (meV/atom): 6.5

Structure (POSCAR):
```
Cs2Tl2Au
1.0
-4.505 -0.069 2.104
-2.980 -7.045 -0.737
2.795 -2.232 11.784
Cs Tl Au
4 4 2
Direct
0.084 0.708 0.124 Cs
0.645 0.371 0.340 Cs
0.355 0.629 0.660 Cs
0.916 0.292 0.876 Cs
0.380 0.125 0.115 Tl
0.139 0.162 0.559 Tl
0.620 0.875 0.885 Tl
0.861 0.838 0.441 Tl
0.351 0.969 0.329 Au
0.649 0.031 0.671 Au
```

# 10
## PuAl2Pt (PBE)

Data for a relaxed structure of PuAl2Pt.

Calculated values
Formation enthalpy at 0 K (meV per atom): -613

Structure (POSCAR):
```
PuAl2Pt
1.0
3.099 0.000 0.000
0.000 3.099 0.000
0.000 0.000 7.507
Al Pu Pt
2 1 1
Direct
0.000 0.000 0.800 Al
0.000 0.000 0.200 Al
0.500 0.500 0.500 Pu
0.500 0.500 0.000 Pt
```

# 11
## Ti2ReAg (PBE)

Data for a relaxed structure of Ti2ReAg.

Calculated values
Formation enthalpy at 0 K (meV per atom): -110
Offset from the most stable computed form (meV/atom): 100.3

Structure (POSCAR):
```
Ti2ReAg
1.0
0.000 3.178 3.178
3.178 0.000 3.178
3.178 3.178 0.000
Ti Ag Re
2 1 1
Direct
0.250 0.250 0.250 Ti
0.750 0.750 0.750 Ti
0.000 0.000 0.000 Ag
0.500 0.500 0.500 Re
```

# 12
## GeIBr (PBE)

Data for a relaxed structure of GeIBr.

Calculated values
Offset from the most stable computed form (meV/atom): 0.9

Structure (POSCAR):
```
GeIBr
1.0
-2.857 1.431 2.747
-4.671 -5.037 -2.232
4.490 -4.886 4.077
I Ge Br
2 2 2
Direct
0.276 0.358 0.640 I
0.512 0.082 0.128 I
0.905 0.219 0.884 Ge
0.362 0.719 0.884 Ge
0.016 0.573 0.090 Br
0.817 0.866 0.679 Br
```

# 13
## Nb2Tc (PBE)

Data for a relaxed structure of Nb2Tc.

Calculated values
Formation enthalpy at 0 K (meV per atom): -185
Offset from the most stable computed form (meV/atom): 90.5

Structure (POSCAR):
```
Nb2Tc
1.0
5.569 0.000 0.002
0.000 4.602 0.000
-5.531 0.000 7.897
Tc Nb
4 8
Direct
0.165 0.500 0.332 Tc
0.835 0.000 0.168 Tc
0.165 0.000 0.832 Tc
0.835 0.500 0.668 Tc
0.668 0.000 0.838 Nb
0.500 0.000 0.500 Nb
0.668 0.500 0.338 Nb
0.332 0.000 0.162 Nb
0.000 0.000 0.500 Nb
0.500 0.500 0.000 Nb
0.332 0.500 0.662 Nb
0.000 0.500 0.000 Nb
```

# 14
## ZrPd8Au6 (PBE)

Data for a relaxed structure of ZrPd8Au6.

Calculated values
Formation enthalpy at 0 K (meV per atom): -106
Offset from the most stable computed form (meV/atom): 6.3

Structure (POSCAR):
```
ZrPd8Au6
1.0
6.528 1.102 1.138
0.898 6.559 1.138
0.898 0.927 6.592
Pd Au Zr
8 6 1
Direct
0.858 0.382 0.065 Pd
0.240 0.240 0.240 Pd
0.935 0.142 0.618 Pd
0.142 0.618 0.935 Pd
0.618 0.935 0.142 Pd
0.065 0.858 0.382 Pd
0.382 0.065 0.858 Pd
0.760 0.760 0.760 Pd
0.574 0.390 0.830 Au
0.426 0.610 0.170 Au
0.610 0.170 0.426 Au
0.830 0.574 0.390 Au
0.170 0.426 0.610 Au
0.390 0.830 0.574 Au
0.000 0.000 0.000 Zr
```

# 15
## GeAuF2 (PBE)

Data for a relaxed structure of GeAuF2.

Calculated values
Offset from the most stable computed form (meV/atom): 392.6

Structure (POSCAR):
```
GeAuF2
1.0
0.000 3.087 3.087
3.087 0.000 3.087
3.087 3.087 0.000
Ge Au F
1 1 2
Direct
0.000 0.000 0.000 Ge
0.500 0.500 0.500 Au
0.750 0.750 0.750 F
0.250 0.250 0.250 F
```

no.,D(E_F) (states/eV/atom),E (eV per atom)
1,0.534,-4.18
2,1.211,-7.88
3,0.656,-2.58
4,0.319,-5.03
5,0.427,-7.08
6,2.083,-5.38
7,1.070,-6.72
8,1.095,-3.27
9,0.671,-2.08
10,1.716,-7.58
11,0.882,-7.88
12,0.000,-3.05
13,0.757,-10.35
14,0.301,-4.76
15,0.628,-3.57